# Y2In2Sb | Alexandria | PBE-GGA | relaxed
data_Y2In2Sb
_chemical_formula_sum 'Y4 In4 Sb2'
_cell_length_a 4.066
_cell_length_b 4.066
_cell_length_c 17.322
_cell_angle_alpha 90.00
_cell_angle_beta 90.00
_cell_angle_gamma 90.00
_symmetry_space_group_name_H-M 'I 4/m m m'
_symmetry_Int_Tables_number 139
_symmetry_space_group_name_Hall '-I 4 2'
loop_
_atom_site_label
_atom_site_fract_x
_atom_site_fract_y
_atom_site_fract_z
Y1 0.000 0.000 0.097
In1 0.000 0.500 0.250
Sb1 0.000 0.000 0.500
# **Fermi-level density of states**: 0.737 states/eV/atom
# **E above lowest polymorph**: 42.3 meV per atom
# **Calculated volume**: 286 Å³/cell